# KReBr2

An optimized crystal structure of KReBr2 (PBE, Alexandria via LeMat-Bulk).

Calculated values
* energy: -3.83 eV/atom
* excess energy over the best structure of this formula in the dataset: 0.189 eV per atom
* ΔE_f (raw): 0.40 eV/atom

Cell lengths 6.2283, 6.2283, 13.5891 Å; angles 90.00, 90.00, 90.00 degrees
Last column: nearest neighbours and their distance in Å.
Space group I-42d (No. 122)
Unique sites:
K 0.0000 0.0000 0.0000 [4 per cell]  4 Br 3.19
Re 0.0000 0.0000 0.5000 [4 per cell]  4 Br 2.48
Br 0.1457 0.2500 0.6250 [8 per cell]  2 Re 2.48